No. 1
Entry from Alexandria via LeMat-Bulk: a crystal of BaRuRh2 relaxed with PBEsol (SCAN).

formation energy	860	meV/atom
space-group type	I-4m2 (119)

POSCAR file:
```
BaRuRh2
1.0
4.2670 0.0000 0.0000
-2.1335 4.4477 -0.0041
0.0000 2.0503 3.7421
Ba Rh Ru
1 2 1
Direct
0.7500 0.5000 0.7500
0.0000 0.0000 0.0000
0.2500 0.5000 0.2500
0.5000 0.0000 0.5000
```


No. 2
Entry from Alexandria via LeMat-Bulk: a crystal of BaRu2Rh relaxed with PBEsol (SCAN).

formation energy	1144	meV/atom
space-group type	I4/mmm (139)

POSCAR file:
```
BaRu2Rh
1.0
-0.4544 -4.1447 -0.8734
2.1053 0.5413 -3.6637
2.4986 1.0579 4.0688
Ba Rh Ru
1 1 2
Direct
0.5000 0.5000 0.0000
0.0000 0.0000 0.0000
0.7500 0.2500 0.5000
0.2500 0.7500 0.5000
```


No. 3
Entry from Alexandria via LeMat-Bulk: a crystal of BaRuRh3 relaxed with PBEsol (SCAN).

formation energy	564	meV/atom
space-group type	Pm-3m (221)

POSCAR file:
```
BaRuRh3
1.0
-2.6541 0.4577 -3.8831
-3.3405 -2.7045 1.9644
-2.0320 3.8482 1.8424
Ru Rh Ba
1 3 1
Direct
0.0000 0.0000 0.0000
0.0000 0.5000 0.0000
0.0000 0.0000 0.5000
0.5000 0.0000 0.0000
0.5000 0.5000 0.5000
```


No. 4
Entry from Alexandria via LeMat-Bulk: a crystal of Ba2RuRh relaxed with PBEsol (SCAN).

formation energy	671	meV/atom
space-group type	P4/mmm (123)

POSCAR file:
```
Ba2RuRh
1.0
3.6887 0.0000 0.0000
0.0000 5.1411 0.0000
0.0000 0.0000 5.1411
Ba Rh Ru
2 1 1
Direct
0.0000 0.0000 0.5000
0.0000 0.5000 0.0000
0.5000 0.5000 0.5000
0.5000 0.0000 0.0000
```


No. 5
Entry from Alexandria via LeMat-Bulk: a crystal of Ba2RuRh relaxed with PBEsol (SCAN).

formation energy	34	meV/atom
space-group type	Cm (8)

POSCAR file:
```
Ba2RuRh
1.0
-2.0432 3.6959 -0.6497
-3.9957 0.4277 1.4519
0.6129 4.6395 7.7845
Ba Rh Ru
2 1 1
Direct
0.0221 0.0221 0.8778
0.2244 0.2244 0.3722
0.4458 0.4458 0.6256
0.8078 0.8078 0.6243
```


No. 6
Entry from Alexandria via LeMat-Bulk: a crystal of BaRuRh2 relaxed with PBEsol (SCAN).

formation energy	153	meV/atom
space-group type	R3m (160)

POSCAR file:
```
BaRuRh2
1.0
-2.0803 2.6887 2.7315
-4.1575 1.0818 -0.7503
-3.7672 -3.1199 3.6873
Ba Rh Ru
1 2 1
Direct
0.7501 0.7501 0.7502
0.9349 0.9349 0.1952
0.2482 0.2482 0.2551
0.5668 0.5668 0.2995
```


| no. | final energy (Ry per atom) | distance to the lowest polymorph of the same formula (eV per atom) |
| --- | --- | --- |
| 1 | -2.545 | 0.706 |
| 2 | -2.543 | 0.841 |
| 3 | -2.541 | 0.000 |
| 4 | -2.665 | 0.637 |
| 5 | -2.711 | 0.000 |
| 6 | -2.596 | 0.000 |